The following is a GGA+U calculation of an optimized crystal structure of SrLaCo2O6, from Alexandria via LeMat-Bulk.

Values from the calculation:
E in eV per atom: -6.510
Total magnetic moment in Bohr magnetons per cell: 5.678

Unit cell a=5.450 b=5.450 c=5.450 alpha=60.00 beta=60.00 gamma=60.00
Site moments in Bohr magnetons follow the coordinates.
Atoms (fractional coordinates):
O: 0.500 0.500 0.000  0.11
O: 0.500 0.000 0.000  0.11
O: 0.500 0.000 0.500  0.11
O: 0.000 0.000 0.500  0.11
O: 0.000 0.500 0.000  0.11
O: 0.000 0.500 0.500  0.11
Sr: 0.000 0.000 0.000  0.01
Co: 0.750 0.750 0.750  2.41
Co: 0.250 0.250 0.250  2.41
La: 0.500 0.500 0.500  0.01